An optimized crystal structure of TiGa3Se. Source: Alexandria via LeMat-Bulk, functional PBE.

Calculated values
For the formation energy without anion corrections, the calculation gives 792 meV/atom. Its excess energy over the best structure of this formula in the dataset is 0.252 eV per atom. The calculation puts the total moment at 0.000 μB/atom. For the density, the calculation gives 4.60 Mg/m³.

Lattice parameters (Å, degrees): 4.9483 4.9483 4.9483 90.00 90.00 90.00
Space group Pm-3m (No. 221)
Unique sites:
Ti1 0.0000 0.0000 0.0000 x1
Ga1 0.0000 0.5000 0.5000 x3
Se1 0.5000 0.5000 0.5000 x1

An optimized crystal structure of Ti4GaSe8. Source: Alexandria via LeMat-Bulk, functional PBE.

Calculated values
For the formation energy without anion corrections, the calculation gives -1051 meV/atom. Its excess energy over the best structure of this formula in the dataset is 0.000 eV per atom. The calculation puts the total moment at 0.174 μB/atom. For the density, the calculation gives 5.09 Mg/m³.

Lattice parameters (Å, degrees): 10.5242 10.5242 10.5242 90.00 90.00 90.00
Space group F-43m (No. 216)
Unique sites:
Ti1 0.1097 0.1097 0.1097 x16
Ga1 0.0000 0.0000 0.5000 x4
Se1 0.1279 0.1279 0.8721 x16
Se2 0.1350 0.1350 0.3650 x16

An optimized crystal structure of Ti4GaSe8. Source: Alexandria via LeMat-Bulk, functional PBE.

Calculated values
For the formation energy without anion corrections, the calculation gives -1046 meV/atom. Its excess energy over the best structure of this formula in the dataset is 0.006 eV per atom. The calculation puts the total moment at 0.000 μB/atom. For the density, the calculation gives 4.76 Mg/m³.

Lattice parameters (Å, degrees): 7.1143 7.1143 21.3122 90.00 90.00 120.00
Space group R-3m (No. 166, hexagonal axes)
Unique sites:
Ti1 0.0000 0.0000 0.0000 x3
Ti2 0.0000 0.5000 0.0000 x9
Ga1 0.0000 0.0000 0.5000 x3
Se1 0.0000 0.0000 0.2611 x6
Se2 0.0007 0.5003 0.7400 x18

An optimized crystal structure of TiV2GaSe. Source: Alexandria via LeMat-Bulk, functional PBE.

Calculated values
For the formation energy without anion corrections, the calculation gives 897 meV/atom. The calculation puts the total moment at 0.899 μB/atom. For the density, the calculation gives 4.73 Mg/m³.

Lattice parameters (Å, degrees): 4.7209 4.7209 4.7048 90.00 90.00 90.00
Space group P4/mmm (No. 123)
Unique sites:
Ti1 0.0000 0.0000 0.0000 x1
V1 0.0000 0.5000 0.0000 x2
Ga1 0.5000 0.5000 0.5000 x1
Se1 0.0000 0.0000 0.5000 x1